Entry 1:
A plane-wave DFT calculation with PBE-GGA was carried out for an optimized crystal structure of Nb4Pt2N.

Lattice parameters (Å, degrees): 3.105 7.255 10.014 90.00 90.00 90.00
Sites, in units of the cell vectors:
Pt 0.500 0.056 0.128
Pt 0.500 0.556 0.372
Pt 0.500 0.944 0.872
Pt 0.500 0.444 0.628
Nb 0.500 0.179 0.424
Nb 0.000 0.640 0.807
Nb 0.000 0.860 0.307
Nb 0.500 0.821 0.576
Nb 0.500 0.679 0.076
Nb 0.500 0.321 0.924
Nb 0.000 0.140 0.693
Nb 0.000 0.360 0.193
N 0.000 0.000 0.500
N 0.000 0.500 0.000

- formation energy (no corrections) (eV/atom) = -0.556
- crystal system = orthorhombic
- magnetic moment (μB per formula unit) = 0.0
- offset from the most stable computed form (meV per atom) = 172

=====

Entry 2:
A plane-wave DFT calculation with PBE-GGA was carried out for an optimized crystal structure of Nb6PtN.

Lattice parameters (Å, degrees): 4.864 5.433 5.367 82.48 93.23 71.16
Sites, in units of the cell vectors:
Nb 0.066 0.352 0.792
Nb 0.398 0.762 0.906
Nb 0.788 0.938 0.651
Nb 0.934 0.648 0.208
Nb 0.212 0.062 0.349
Nb 0.602 0.238 0.094
N 0.000 0.000 0.000
Pt 0.500 0.500 0.500

- formation energy (no corrections) (eV/atom) = -0.385
- crystal system = triclinic
- magnetic moment (μB per formula unit) = 0.0

=====

Entry 3:
A plane-wave DFT calculation with PBE-GGA was carried out for an optimized crystal structure of NbPt2N.

Lattice parameters (Å, degrees): 5.715 5.715 5.849 60.75 60.75 90.00
Sites, in units of the cell vectors:
Nb 0.750 0.250 0.500
Nb 0.000 0.000 0.000
Pt 0.875 0.802 0.750
Pt 0.375 0.448 0.750
Pt 0.198 0.625 0.250
Pt 0.552 0.125 0.250
N 0.250 0.750 0.500
N 0.500 0.500 0.000

- formation energy (no corrections) (eV/atom) = 0.521
- crystal system = tetragonal
- magnetic moment (μB per formula unit) = 0.0

=====

Entry 4:
A plane-wave DFT calculation with PBE-GGA was carried out for an optimized crystal structure of Nb4Pt2N.

Lattice parameters (Å, degrees): 4.187 4.187 7.326 73.40 73.40 90.00
Sites, in units of the cell vectors:
N 0.000 0.000 0.000
Nb 0.500 0.000 0.000
Nb 0.830 0.830 0.341
Nb 0.170 0.170 0.659
Nb 0.000 0.500 0.000
Pt 0.362 0.362 0.277
Pt 0.638 0.638 0.723

- formation energy (no corrections) (eV/atom) = -0.479
- crystal system = tetragonal
- magnetic moment (μB per formula unit) = 0.0
- offset from the most stable computed form (meV per atom) = 249

=====

Entry 5:
A plane-wave DFT calculation with PBE-GGA was carried out for an optimized crystal structure of NbPt3N.

Lattice parameters (Å, degrees): 4.228 4.228 4.228 90.00 90.00 90.00
Site moments in Bohr magnetons follow the coordinates.
Sites, in units of the cell vectors:
Pt 0.000 0.000 0.500  0.14
Pt 0.000 0.500 0.000  0.09
Pt 0.500 0.000 0.000  0.04
Nb 0.500 0.500 0.500  1.13
N 0.000 0.000 0.000  0.01

- formation energy (no corrections) (eV/atom) = 0.488
- crystal system = cubic
- magnetic moment (μB per formula unit) = 1.6
- offset from the most stable computed form (meV per atom) = 0

=====

Entry 6:
A plane-wave DFT calculation with PBE-GGA was carried out for an optimized crystal structure of Nb4Pt2N.

Lattice parameters (Å, degrees): 8.542 8.542 8.542 60.00 60.00 60.00
Sites, in units of the cell vectors:
Nb 0.428 0.428 0.072
Nb 0.072 0.072 0.428
Nb 0.125 0.625 0.625
Nb 0.178 0.178 0.822
Nb 0.072 0.428 0.072
Nb 0.822 0.178 0.822
Nb 0.428 0.072 0.428
Nb 0.625 0.125 0.625
Nb 0.428 0.072 0.072
Nb 0.625 0.625 0.125
Nb 0.178 0.822 0.822
Nb 0.178 0.822 0.178
Nb 0.072 0.428 0.428
Nb 0.625 0.625 0.625
Nb 0.822 0.178 0.178
Nb 0.822 0.822 0.178
Pt 0.415 0.415 0.755
Pt 0.835 0.835 0.835
Pt 0.755 0.415 0.415
Pt 0.835 0.835 0.495
Pt 0.835 0.495 0.835
Pt 0.415 0.415 0.415
Pt 0.415 0.755 0.415
Pt 0.495 0.835 0.835
N 0.125 0.125 0.625
N 0.625 0.125 0.125
N 0.125 0.625 0.125
N 0.125 0.125 0.125

- formation energy (no corrections) (eV/atom) = -0.728
- crystal system = cubic
- magnetic moment (μB per formula unit) = 0.0
- offset from the most stable computed form (meV per atom) = 0

=====

no.,uncorrected energy (eV/atom)
1,-9.2253
2,-9.7334
3,-7.0986
4,-9.1483
5,-6.8159
6,-9.3974